# 1
A relaxed structure of Dy3Pb2Se. Source: the Alexandria database, functional PBE. Values from VASP.

Quantum ESPRESSO input file:
```
&SYSTEM
  ibrav = 0, nat = 6, ntyp = 3
/
ATOMIC_SPECIES
Dy 162.50 Dy.upf
Se 78.96 Se.upf
Pb 207.20 Pb.upf
CELL_PARAMETERS angstrom
-1.0060 2.6051 -2.8484
5.3155 -1.1749 -2.9519
-5.2655 -5.8195 -0.6697
ATOMIC_POSITIONS angstrom
Dy 2.1548 0.7151 -2.9001
Dy -0.9485 -1.5565 -1.0885
Se -0.5030 1.3026 -1.4242
Pb 1.5949 -2.3314 -2.6957
Dy -0.0074 -2.8328 -5.3815
Pb -2.5509 -2.0579 -3.7743
```

energy: -4.996 eV/atom
SG: Immm, No. 71
V: 28.7 Å³ per atom
uncorrected formation energy: -878 meV/atom



# 2
A relaxed structure of Dy5Pb4Se. Source: the Alexandria database, functional PBE. Values from VASP.

Quantum ESPRESSO input file:
```
&SYSTEM
  ibrav = 0, nat = 10, ntyp = 3
/
ATOMIC_SPECIES
Se 78.96 Se.upf
Dy 162.50 Dy.upf
Pb 207.20 Pb.upf
CELL_PARAMETERS angstrom
-4.1859 1.8834 4.1709
-7.1599 -1.7027 -1.8057
-1.4962 -5.0921 5.4089
ATOMIC_POSITIONS angstrom
Se -0.0032 0.0014 0.0032
Dy -2.0957 0.9429 2.0882
Pb -7.1113 -0.9791 2.5378
Dy -4.9016 -0.9066 4.7225
Dy -7.9496 -4.0007 3.0607
Pb -5.7401 -3.9281 5.2455
Dy -5.1208 -1.8096 0.2992
Pb -2.9300 -2.0205 2.5932
Pb -9.9214 -2.8868 5.1901
Dy -7.7304 -3.0976 7.4840
```

energy: -4.795 eV/atom
SG: I4/m, No. 87
V: 29.7 Å³ per atom
uncorrected formation energy: -662 meV/atom



# 3
A relaxed structure of Dy2PbSe. Source: the Alexandria database, functional PBE. Values from VASP.

Quantum ESPRESSO input file:
```
&SYSTEM
  ibrav = 0, nat = 4, ntyp = 3
/
ATOMIC_SPECIES
Dy 162.50 Dy.upf
Se 78.96 Se.upf
Pb 207.20 Pb.upf
CELL_PARAMETERS angstrom
-1.9339 -3.6802 -0.8080
0.6116 -1.9431 -3.7131
5.0852 -5.3811 1.2383
ATOMIC_POSITIONS angstrom
Dy 2.8961 -8.3002 -2.4253
Dy 0.8668 -2.7042 -0.8574
Se 0.0000 0.0000 0.0000
Pb 1.8815 -5.5022 -1.6414
```

energy: -5.199 eV/atom
polymorph energy (0 for the lowest one): 0.000 eV per atom
SG: R-3m, No. 166
V: 27.6 Å³ per atom
uncorrected formation energy: -1099 meV/atom



- Number 1 is which compound?
  Dy3Pb2Se